[1]
VASP calculation (PBE) on K2SrCo after structural relaxation.

abc: 4.3019 4.3019 37.4256
angles: 90.00 90.00 120.00
Space group R-3m (No. 166, hexagonal axes)
Symmetry-distinct sites (fractional):
1 K 0.0000 0.0000 0.2283 x6
2 Sr 0.0000 0.0000 0.0000 x3
3 Co 0.0000 0.0000 0.5000 x3

Calculated values
Its crystal system is trigonal. The polymorph energy (0 for the lowest one) is 283 meV/atom. Its formation energy is 18.77 kcal/mol of atoms.



[2]
VASP calculation (PBE) on Re2Se after structural relaxation.

abc: 11.534 2.974 6.610
angles: 90.00 118.76 90.00
Space group C2/m (No. 12)
Symmetry-distinct sites (fractional):
1 Re 0.077 0.000 0.238 x4
2 Re 0.140 0.500 0.976 x4
3 Se 0.168 0.500 0.608 x4

Calculated values
The uncorrected formation energy is 0.239 eV/atom. Its crystal system is monoclinic. The polymorph energy (0 for the lowest one) is 168 meV/atom.



[3]
VASP calculation (PBE) on Pm5Pr8Nd after structural relaxation.

abc: 9.828 9.828 10.492
angles: 90.00 90.00 90.00
Space group I-4 (No. 82)
Symmetry-distinct sites (fractional):
1 Pm 0.000 0.000 0.000 x2
2 Pm 0.107 0.793 0.427 x8
3 Pr 0.071 0.675 0.102 x8
4 Pr 0.082 0.817 0.755 x8
5 Nd 0.000 0.500 0.750 x2

Calculated values
Its crystal system is tetragonal. Its formation energy is 5.10 kcal/mol of atoms.



[4]
VASP calculation (PBE) on Rb2SrPbCl6 after structural relaxation.

abc: 11.419 11.419 11.419
angles: 90.00 90.00 90.00
Space group Fm-3m (No. 225)
Symmetry-distinct sites (fractional):
1 Rb 0.250 0.250 0.250 x8
2 Sr 0.000 0.000 0.000 x4
3 Pb 0.000 0.000 0.500 x4
4 Cl 0.000 0.000 0.249 x24

Calculated values
The uncorrected formation energy is -1.844 eV/atom. Its crystal system is cubic. The polymorph energy (0 for the lowest one) is 49 meV/atom.



Number 1: VASP energy -1.932 eV/atom, N(E_F) 8.28 states/eV per cell. Number 2: VASP energy -9.221 eV/atom, N(E_F) 5.82 states/eV per cell. Number 3: VASP energy -4.547 eV/atom, N(E_F) 41.20 states/eV per cell. Number 4: VASP energy -3.684 eV/atom, N(E_F) 0.00 states/eV per cell.